VASP calculation (PBE-GGA) on a geometry-optimized Ir4Au3 structure.

Lattice parameters (Å, degrees): 3.3753 3.3753 19.9973 90.00 90.00 90.00
Closest atoms and distances in Å follow each position.
Space group I4/mmm (No. 139)
Unique sites:
1 Ir 0.0000 0.0000 0.0760  4 Ir 2.66, 5 Au 2.73-2.83
2 Ir 0.0000 0.0000 0.3653  4 Ir 2.66, 5 Au 2.69-2.85
3 Au 0.0000 0.0000 0.2125  6 Ir 2.73-3.06, 4 Au 2.82
4 Au 0.0000 0.0000 0.5000  10 Ir 2.69-2.83

Results
Crystal system = tetragonal
Density of states at the Fermi level = 6.2 states/eV/f.u.
Formation energy from the elements = 0.435 eV/atom
Size of the total moment = 0.0000 μB/atom

VASP calculation (PBE-GGA) on a geometry-optimized IrAu2 structure.

Lattice parameters (Å, degrees): 8.0039 8.0039 2.7688 90.00 90.00 120.00
Closest atoms and distances in Å follow each position.
Space group P-62m (No. 189)
Unique sites:
1 Ir 0.0000 0.0000 0.0000  2 Ir 2.77, 9 Au 2.78-2.95
2 Ir 0.3333 0.6667 0.5000  2 Ir 2.77, 9 Au 2.81-2.89
3 Au 0.0000 0.3011 0.5000  8 Au 2.77-3.05, 4 Ir 2.78-2.81
4 Au 0.0000 0.6310 0.0000  8 Au 2.77-3.05, 5 Ir 2.89-2.95

Results
Offset from the most stable computed form = 210 meV/atom
Crystal system = hexagonal
Density of states at the Fermi level = 3.5 states/eV/f.u.
Formation energy from the elements = 0.467 eV/atom
Size of the total moment = 0.1205 μB/atom

VASP calculation (PBE-GGA) on a geometry-optimized IrAu2 structure.

Lattice parameters (Å, degrees): 4.7553 4.7553 2.6982 90.00 90.00 90.00
Closest atoms and distances in Å follow each position.
Space group P4/mmm (No. 123)
Unique sites:
1 Ir 0.0000 0.0000 0.0000  2 Ir 2.70, 8 Au 2.73
2 Au 0.0000 0.5000 0.5000  2 Au 2.70, 4 Ir 2.73

Results
Offset from the most stable computed form = 84 meV/atom
Crystal system = tetragonal
Density of states at the Fermi level = 2.1 states/eV/f.u.
Formation energy from the elements = 0.342 eV/atom
Size of the total moment = 0.0000 μB/atom

VASP calculation (PBE-GGA) on a geometry-optimized IrAu2 structure.

Lattice parameters (Å, degrees): 6.2935 6.2935 6.2935 90.00 90.00 90.00
Closest atoms and distances in Å follow each position.
Space group Pa-3 (No. 205)
Unique sites:
1 Ir 0.0000 0.0000 0.0000  6 Au 2.59
2 Au 0.1363 0.6363 0.8637  3 Ir 2.59

Results
Offset from the most stable computed form = 656 meV/atom
Crystal system = cubic
Density of states at the Fermi level = 2.6 states/eV/f.u.
Formation energy from the elements = 0.913 eV/atom
Size of the total moment = 0.0000 μB/atom